Record 1
NdTmSnRh | PBE-GGA | optimized geometry

Output
Crystal system: cubic
Space-group type: F-43m

Lattice parameters (Å, degrees): 7.2918 7.2918 7.2918 90.00 90.00 90.00
Element x y z (fractional)
Nd  0.0000  0.0000  0.0000
Nd  0.0000  0.5000  0.5000
Nd  0.5000  0.0000  0.5000
Nd  0.5000  0.5000  0.0000
Tm  0.0000  0.0000  0.5000
Tm  0.0000  0.5000  0.0000
Tm  0.5000  0.0000  0.0000
Tm  0.5000  0.5000  0.5000
Sn  0.2500  0.2500  0.7500
Sn  0.2500  0.7500  0.2500
Sn  0.7500  0.2500  0.2500
Sn  0.7500  0.7500  0.7500
Rh  0.2500  0.2500  0.2500
Rh  0.2500  0.7500  0.7500
Rh  0.7500  0.2500  0.7500
Rh  0.7500  0.7500  0.2500


Record 2
Nd2ZnSn4Rh3 | PBE-GGA | optimized geometry

Output
Crystal system: tetragonal
Space-group type: P-4m2

Lattice parameters (Å, degrees): 4.4940 4.4940 10.9350 90.00 90.00 90.00
Element x y z (fractional)
Nd  0.0000  0.5000  0.2479
Nd  0.5000  0.0000  0.7521
Zn  0.0000  0.0000  0.5000
Sn  0.0000  0.0000  0.0000
Sn  0.0000  0.5000  0.6357
Sn  0.5000  0.0000  0.3643
Sn  0.5000  0.5000  0.0000
Rh  0.0000  0.5000  0.8714
Rh  0.5000  0.0000  0.1286
Rh  0.5000  0.5000  0.5000


Record 3
NdZnSnRh | PBE-GGA | optimized geometry

Output
Crystal system: cubic
Space-group type: F-43m

Lattice parameters (Å, degrees): 6.8712 6.8712 6.8712 90.00 90.00 90.00
Element x y z (fractional)
Nd  0.0000  0.0000  0.0000
Nd  0.0000  0.5000  0.5000
Nd  0.5000  0.0000  0.5000
Nd  0.5000  0.5000  0.0000
Zn  0.2500  0.2500  0.2500
Zn  0.2500  0.7500  0.7500
Zn  0.7500  0.2500  0.7500
Zn  0.7500  0.7500  0.2500
Sn  0.0000  0.0000  0.5000
Sn  0.0000  0.5000  0.0000
Sn  0.5000  0.0000  0.0000
Sn  0.5000  0.5000  0.5000
Rh  0.2500  0.2500  0.7500
Rh  0.2500  0.7500  0.2500
Rh  0.7500  0.2500  0.2500
Rh  0.7500  0.7500  0.7500


Record 4
Nd2ZnSn3Rh4 | PBE-GGA | optimized geometry

Output
Crystal system: tetragonal
Space-group type: P-4m2

Lattice parameters (Å, degrees): 4.4130 4.4130 10.8101 90.00 90.00 90.00
Element x y z (fractional)
Nd  0.0000  0.5000  0.2485
Nd  0.5000  0.0000  0.7515
Zn  0.5000  0.5000  0.0000
Sn  0.0000  0.0000  0.0000
Sn  0.0000  0.5000  0.6323
Sn  0.5000  0.0000  0.3677
Rh  0.0000  0.0000  0.5000
Rh  0.0000  0.5000  0.8714
Rh  0.5000  0.0000  0.1286
Rh  0.5000  0.5000  0.5000


Record 5
Nd2ZnSn2Rh5 | PBE-GGA | optimized geometry

Output
Crystal system: tetragonal
Space-group type: P4/mbm

Lattice parameters (Å, degrees): 10.2842 10.2842 3.6543 90.00 90.00 90.00
Element x y z (fractional)
Nd  0.1700  0.3300  0.0000
Nd  0.3300  0.8300  0.0000
Nd  0.6700  0.1700  0.0000
Nd  0.8300  0.6700  0.0000
Zn  0.0000  0.0000  0.0000
Zn  0.5000  0.5000  0.0000
Sn  0.1301  0.6301  0.0000
Sn  0.3699  0.1301  0.0000
Sn  0.6301  0.8699  0.0000
Sn  0.8699  0.3699  0.0000
Rh  0.0000  0.5000  0.5000
Rh  0.0557  0.8042  0.5000
Rh  0.1958  0.0557  0.5000
Rh  0.3042  0.5557  0.5000
Rh  0.4443  0.3042  0.5000
Rh  0.5000  0.0000  0.5000
Rh  0.5557  0.6958  0.5000
Rh  0.6958  0.4443  0.5000
Rh  0.8042  0.9443  0.5000
Rh  0.9443  0.1958  0.5000


Record 6
Nd2Zn2SnRh5 | PBE-GGA | optimized geometry

Output
Crystal system: tetragonal
Space-group type: P4/mbm

Lattice parameters (Å, degrees): 9.8349 9.8349 3.6923 90.00 90.00 90.00
Element x y z (fractional)
Nd  0.1750  0.3250  0.0000
Nd  0.3250  0.8250  0.0000
Nd  0.6750  0.1750  0.0000
Nd  0.8250  0.6750  0.0000
Zn  0.1226  0.6226  0.0000
Zn  0.3774  0.1226  0.0000
Zn  0.6226  0.8774  0.0000
Zn  0.8774  0.3774  0.0000
Sn  0.0000  0.0000  0.0000
Sn  0.5000  0.5000  0.0000
Rh  0.0000  0.5000  0.5000
Rh  0.0659  0.7935  0.5000
Rh  0.2065  0.0659  0.5000
Rh  0.2935  0.5659  0.5000
Rh  0.4341  0.2935  0.5000
Rh  0.5000  0.0000  0.5000
Rh  0.5659  0.7065  0.5000
Rh  0.7065  0.4341  0.5000
Rh  0.7935  0.9341  0.5000
Rh  0.9341  0.2065  0.5000


Record 7
Nd2ZrSn3Rh4 | PBE-GGA | optimized geometry

Output
Crystal system: tetragonal
Space-group type: P-4m2

Lattice parameters (Å, degrees): 4.3843 4.3843 11.3241 90.00 90.00 90.00
Element x y z (fractional)
Nd  0.0000  0.5000  0.2391
Nd  0.5000  0.0000  0.7609
Zr  0.0000  0.0000  0.5000
Sn  0.0000  0.5000  0.8717
Sn  0.5000  0.0000  0.1283
Sn  0.5000  0.5000  0.5000
Rh  0.0000  0.0000  0.0000
Rh  0.0000  0.5000  0.6409
Rh  0.5000  0.0000  0.3591
Rh  0.5000  0.5000  0.0000


Record 8
SrNd2Rh2 | PBE-GGA | optimized geometry

Output
Crystal system: monoclinic
Space-group type: C2/m
Energy relative to the lowest polymorph listed for this composition (kJ/mol of formula units): 27

Lattice parameters (Å, degrees): 12.3956 4.2727 5.7639 90.00 107.97 90.00
Element x y z (fractional)
Sr  0.0000  0.0000  0.0000
Sr  0.5000  0.5000  0.0000
Nd  0.1635  0.5000  0.6272
Nd  0.3365  0.0000  0.3728
Nd  0.6635  0.0000  0.6272
Nd  0.8365  0.5000  0.3728
Rh  0.2026  0.5000  0.1466
Rh  0.2974  0.0000  0.8534
Rh  0.7026  0.0000  0.1466
Rh  0.7974  0.5000  0.8534


Record 9
SrNd2Rh2 | PBE-GGA | optimized geometry

Output
Crystal system: triclinic
Space-group type: P-1
Energy relative to the lowest polymorph listed for this composition (kJ/mol of formula units): 0

Lattice parameters (Å, degrees): 3.9847 8.3633 9.6218 74.40 78.05 76.28
Element x y z (fractional)
Sr  0.1210  0.0450  0.2118
Sr  0.8790  0.9550  0.7882
Nd  0.1232  0.3918  0.8610
Nd  0.3683  0.3107  0.4518
Nd  0.6317  0.6893  0.5482
Nd  0.8768  0.6082  0.1390
Rh  0.2456  0.6688  0.3412
Rh  0.4904  0.6511  0.8688
Rh  0.5096  0.3489  0.1312
Rh  0.7544  0.3312  0.6588


Record 10
SrNdRh2 | PBE-GGA | optimized geometry

Output
Crystal system: cubic
Space-group type: Fm-3m
Energy relative to the lowest polymorph listed for this composition (kJ/mol of formula units): 23

Lattice parameters (Å, degrees): 7.1337 7.1337 7.1337 90.00 90.00 90.00
Element x y z (fractional)
Sr  0.0000  0.0000  0.0000
Sr  0.0000  0.5000  0.5000
Sr  0.5000  0.0000  0.5000
Sr  0.5000  0.5000  0.0000
Nd  0.0000  0.0000  0.5000
Nd  0.0000  0.5000  0.0000
Nd  0.5000  0.0000  0.0000
Nd  0.5000  0.5000  0.5000
Rh  0.2500  0.2500  0.2500
Rh  0.2500  0.2500  0.7500
Rh  0.2500  0.7500  0.2500
Rh  0.2500  0.7500  0.7500
Rh  0.7500  0.2500  0.2500
Rh  0.7500  0.2500  0.7500
Rh  0.7500  0.7500  0.2500
Rh  0.7500  0.7500  0.7500


Record 11
SrNd3Rh | PBE-GGA | optimized geometry

Output
Crystal system: cubic
Space-group type: Pm-3m
Energy relative to the lowest polymorph listed for this composition (kJ/mol of formula units): 15

Lattice parameters (Å, degrees): 5.6905 5.6905 5.6905 90.00 90.00 90.00
Element x y z (fractional)
Sr  0.0000  0.0000  0.0000
Nd  0.0000  0.5000  0.5000
Nd  0.5000  0.0000  0.5000
Nd  0.5000  0.5000  0.0000
Rh  0.5000  0.5000  0.5000


Record 12
SrNd3Rh | PBE-GGA | optimized geometry

Output
Crystal system: hexagonal
Space-group type: P6_3/mmc
Energy relative to the lowest polymorph listed for this composition (kJ/mol of formula units): 0

Lattice parameters (Å, degrees): 7.9996 7.9996 6.3615 90.00 90.00 120.00
Element x y z (fractional)
Sr  0.3333  0.6667  0.2500
Sr  0.6667  0.3333  0.7500
Nd  0.1708  0.3417  0.7500
Nd  0.1708  0.8292  0.7500
Nd  0.3417  0.1708  0.2500
Nd  0.6583  0.8292  0.7500
Nd  0.8292  0.1708  0.2500
Nd  0.8292  0.6583  0.2500
Rh  0.0000  0.0000  0.0000
Rh  0.0000  0.0000  0.5000


For each record above, in turn, the calculated formation energy from the elements values are -0.6005; -0.6296; -0.4860; -0.6711; -0.4685; -0.6046; -0.7474; -0.4056; -0.4611; -0.3523; -0.2074; -0.2393 eV per atom.